Model a:
## ThGa2Tc (GGA-PBE)

Data for a geometry-optimized ThGa2Tc structure.

```
8
Lattice="-1.4920 4.1385 1.1732 -4.2918 -2.9589 -1.0444 -0.2493 -1.9322 6.4988" Properties=species:S:1:pos:R:3 pbc="T T T"
Tc -2.0693 -2.0951 4.6098
Th -0.7432 -0.7626 1.5155
Ga -3.8071 -1.2857 2.6187
Th -5.2900 0.0099 5.1121
Tc -3.9639 1.3425 2.0178
Ga -2.3229 -0.2179 6.5346
Ga -3.7102 -0.5347 0.0930
Ga -2.2260 0.5330 4.0089
```

Values from the calculation:
Density   9.9 Mg/m³

Model b:
## ThGa2Tc (GGA-PBE)

Data for a geometry-optimized ThGa2Tc structure.

```
4
Lattice="-0.8999 -3.4111 -2.4942 -0.5917 -3.8880 1.7888 -5.4877 -1.4584 0.2324" Properties=species:S:1:pos:R:3 pbc="T T T"
Ga -4.6813 -6.6762 -0.4066
Ga -2.2979 -2.0814 -0.0664
Th 0.0000 0.0000 0.0000
Tc -3.4896 -4.3788 -0.2365
```

Values from the calculation:
Density   9.4 Mg/m³

Model c:
## ThGa2Tc (GGA-PBE)

Data for a geometry-optimized ThGa2Tc structure.

```
16
Lattice="-1.4264 -5.5334 2.2807 2.3994 -3.0014 -5.7816 6.8628 -0.4903 3.1026" Properties=species:S:1:pos:R:3 pbc="T T T"
Th 7.5221 -6.0159 -0.0069
Tc 2.5848 -3.2081 -3.5135
Ga 7.0452 -2.5408 -0.4052
Ga 0.7906 -6.4844 0.0069
Th 0.3137 -3.0092 -0.3915
Ga 3.1332 -4.1601 -1.1881
Ga 7.9684 -3.6957 -2.6298
Tc 5.2510 -5.8171 3.1151
Tc 5.7591 -4.4507 -1.5511
Ga 4.7026 -4.8650 0.7897
Ga 4.0564 -5.3150 -3.4126
Ga -0.1326 -5.3295 2.2314
Th 3.6500 -7.4803 -0.8536
Tc 2.0767 -4.5744 1.1527
Ga 3.7794 -3.7102 3.0143
Th 4.1858 -1.5449 0.4552
```

Values from the calculation:
Density   9.7 Mg/m³

Model d:
## ThGa2Tc (GGA-PBE)

Data for a geometry-optimized ThGa2Tc structure.

```
4
Lattice="-2.3190 -2.3828 -0.2242 2.0831 -1.8558 -1.8227 2.4185 -2.8909 5.7074" Properties=species:S:1:pos:R:3 pbc="T T T"
Ga 1.9617 -2.3449 4.6295
Th 1.0913 -3.5648 1.8302
Ga 0.4568 -0.5460 1.0780
Tc -0.1179 -2.1193 -1.0235
```

Values from the calculation:
Density   10.3 Mg/m³

So which one is most stable? That would be model a, about 48 meV/atom below the next structure.

Model a:
## ThGa3Tc (GGA-PBE)

Data for a geometry-optimized ThGa3Tc structure.

```
10
Lattice="-2.2261 4.2933 0.5264 -3.4121 -1.1561 -5.0008 -4.4880 -2.8832 3.7287" Properties=species:S:1:pos:R:3 pbc="T T T"
Ga -8.8499 0.0391 -1.2564
Th -5.4611 1.1647 -2.2402
Ga -2.7035 -0.2687 -1.5809
Ga -4.5974 1.9730 0.7817
Ga -1.2763 0.2149 0.5108
Tc -2.5931 2.1952 -0.6372
Tc -7.5331 -1.9411 -0.1084
Ga -5.5288 -1.7190 -1.5274
Ga -7.4227 0.5227 0.8353
Th -4.6651 -0.9107 1.4946
```

Values from the calculation:
Density   9.2 Mg/m³

Model b:
## ThGa3Tc (GGA-PBE)

Data for a geometry-optimized ThGa3Tc structure.

```
10
Lattice="-2.6398 -2.1896 -4.4090 -0.3325 -5.1173 2.7489 -4.5045 4.5792 1.8344" Properties=species:S:1:pos:R:3 pbc="T T T"
Ga -4.4410 -1.3755 -2.7601
Ga -3.0305 -4.3135 1.1797
Tc -0.5798 -0.3696 -0.4146
Th -4.8403 0.8022 1.2582
Ga -5.6057 0.8468 -1.8347
Ga -2.8681 -1.7514 -0.1949
Ga -4.1953 -2.0911 2.1051
Th -3.7960 -4.2688 -1.9131
Ga -5.7683 -1.7151 -0.4600
Tc -1.8997 -1.4643 -2.6191
```

Values from the calculation:
Density   9.3 Mg/m³

So which one is most stable? That would be model b, about 29 meV/atom below the next structure.

Model a:
## Th3Ga4Tc2 (GGA-PBE)

Data for a geometry-optimized Th3Ga4Tc2 structure.

```
18
Lattice="-5.5459 0.6654 -3.9341 -0.8045 -7.5516 -1.9878 -5.4043 -0.8521 5.6296" Properties=species:S:1:pos:R:3 pbc="T T T"
Tc -1.4884 -3.6520 0.1373
Tc -5.4903 -1.5293 0.2055
Ga -8.6120 -5.7801 -1.5129
Ga -5.1271 -2.7740 -2.0523
Tc -10.2663 -4.0863 -0.4296
Ga -3.1427 -1.9582 1.2206
Th -6.2175 0.1788 -1.7145
Ga -10.2724 -2.2043 1.4157
Th -9.5513 -5.7768 1.5104
Th -4.0429 -4.6880 0.0955
Th -7.7118 -3.0503 -0.3878
Th -5.5372 -7.9172 1.4222
Tc -6.2644 -6.2090 -0.4978
Th -2.2035 -1.9615 -1.8027
Ga -4.2911 -7.2099 -1.9302
Ga -7.4636 -0.5284 1.6379
Ga -6.6277 -4.9643 1.7600
Ga -1.4823 -5.5340 -1.7081
```

Values from the calculation:
Density   9.4 Mg/m³

Model b:
## Th3Ga4Tc2 (GGA-PBE)

Data for a geometry-optimized Th3Ga4Tc2 structure.

```
9
Lattice="-2.2838 3.8317 -1.2617 -2.1679 -0.2211 -5.2633 -8.6429 -2.4849 -0.4178" Properties=species:S:1:pos:R:3 pbc="T T T"
Tc -6.0300 0.1084 -5.7879
Th -5.0326 1.5440 -3.2337
Ga -7.2929 2.2843 -5.4102
Ga -2.0748 0.8309 -2.2373
Ga -5.8018 -1.1586 -1.5327
Tc -7.0646 1.0173 -1.1549
Th 0.0000 0.0000 0.0000
Ga -11.0199 0.2949 -4.7056
Th -8.0621 -0.4183 -3.7092
```

Values from the calculation:
Density   9.9 Mg/m³

So which one is most stable? That would be model b, about 137 meV/atom below the next structure.

Model a:
## ThGaTc (GGA-PBE)

Data for a geometry-optimized ThGaTc structure.

```
3
Lattice="3.8548 0.0000 0.0000 0.0000 4.4197 0.0000 0.0000 -2.2098 3.8275" Properties=species:S:1:pos:R:3 pbc="T T T"
Th 2.5702 2.2098 1.2758
Tc 0.6428 0.0000 2.5517
Ga 0.6418 0.0000 0.0000
```

Values from the calculation:
Density   10.2 Mg/m³

Model b:
## ThGaTc (GGA-PBE)

Data for a geometry-optimized ThGaTc structure.

```
12
Lattice="4.8034 0.0000 0.0000 0.0000 7.1164 0.0000 0.0000 0.0000 7.3207" Properties=species:S:1:pos:R:3 pbc="T T T"
Th 3.6025 1.4312 3.9011
Th 1.2008 5.6852 3.4195
Ga 3.6025 4.4112 5.1204
Ga 1.2008 2.7052 2.2003
Tc 1.2008 3.3199 4.7965
Tc 3.6025 3.7965 2.5242
Th 1.2008 4.9895 7.0799
Tc 1.2008 0.2383 1.1362
Ga 1.2008 0.8530 5.8606
Ga 3.6025 6.2634 1.4601
Tc 3.6025 6.8781 6.1845
Th 3.6025 2.1270 0.2408
```

Values from the calculation:
Density   10.6 Mg/m³

Model c:
## ThGaTc (GGA-PBE)

Data for a geometry-optimized ThGaTc structure.

```
3
Lattice="3.4588 0.0000 0.0000 0.0000 3.4588 0.0000 -1.7294 -1.7294 5.1255" Properties=species:S:1:pos:R:3 pbc="T T T"
Th 1.7294 1.7294 4.6334
Tc 0.0000 0.0000 2.5088
Ga 1.7294 1.7294 1.5713
```

Values from the calculation:
Density   10.8 Mg/m³

So which one is most stable? That would be model b, about 188 meV/atom below the next structure.

Model a:
## TmThGaTc (GGA-PBE)

Data for a geometry-optimized TmThGaTc structure.

```
4
Lattice="4.0745 0.0000 0.0000 0.0000 3.9679 0.0000 -2.0373 0.0000 5.7004" Properties=species:S:1:pos:R:3 pbc="T T T"
Ga 0.0000 0.0000 4.8674
Th 0.0000 0.0000 1.5179
Tm 2.0373 1.9840 4.0554
Tc 2.0373 1.9840 0.9600
```

Values from the calculation:
Density   10.2 Mg/m³

Model b:
## TmThGaTc (GGA-PBE)

Data for a geometry-optimized TmThGaTc structure.

```
4
Lattice="-4.2432 -2.4584 1.0802 -1.7936 -3.4357 -3.1929 0.1583 -4.8722 1.2050" Properties=species:S:1:pos:R:3 pbc="T T T"
Tm 0.0000 0.0000 0.0000
Th -2.9392 -5.3831 -0.4538
Ga -1.4696 -2.6916 -0.2269
Tc -4.4089 -8.0747 -0.6808
```

Values from the calculation:
Density   10.5 Mg/m³

So which one is most stable? That would be model a, about 142 meV/atom below the next structure.

Model a:
## YThGaTc (GGA-PBE)

Data for a geometry-optimized YThGaTc structure.

```
4
Lattice="5.0581 0.0000 0.0000 2.5290 4.3804 0.0000 2.5290 1.4601 4.1299" Properties=species:S:1:pos:R:3 pbc="T T T"
Y 7.5871 4.3804 3.0974
Th 2.5290 1.4601 1.0325
Tc 5.0581 2.9203 2.0649
Ga 0.0000 0.0000 0.0000
```

Values from the calculation:
Density   8.9 Mg/m³

Model b:
## YThGaTc (GGA-PBE)

Data for a geometry-optimized YThGaTc structure.

```
4
Lattice="-2.1274 -1.4480 3.1770 2.1765 -3.3195 -0.0554 4.8635 3.1545 2.0638" Properties=species:S:1:pos:R:3 pbc="T T T"
Ga 3.2657 2.0888 3.1388
Y 2.7187 -0.6605 4.1503
Tc 0.6630 -1.9753 2.1744
Th 1.0014 0.6405 0.9625
```

Values from the calculation:
Density   8.6 Mg/m³

So which one is most stable? That would be model b, about 165 meV/atom below the next structure.

Model a:
## TiGaTc (GGA-PBE)

Data for a geometry-optimized TiGaTc structure.

```
3
Lattice="-2.2444 -1.5511 -0.2930 1.1871 -2.3737 3.4728 -2.5131 3.5371 0.5262" Properties=species:S:1:pos:R:3 pbc="T T T"
Tc -2.7281 0.5659 1.3193
Ga -2.1970 -1.5183 -0.2868
Ti -0.8898 -0.9864 2.3805
```

Values from the calculation:
Density   7.9 Mg/m³

Model b:
## TiGaTc (GGA-PBE)

Data for a geometry-optimized TiGaTc structure.

```
12
Lattice="4.3751 0.0000 0.0000 0.0000 3.2325 0.0000 -0.9305 0.0000 12.8560" Properties=species:S:1:pos:R:3 pbc="T T T"
Tc 2.7957 1.6162 5.3036
Ga 2.5634 1.6162 9.6711
Ti 0.1613 1.6162 11.8209
Ti 2.8180 0.0000 7.4630
Tc 0.6488 1.6162 7.5524
Ti 0.6266 0.0000 5.3929
Tc 2.3305 0.0000 11.7316
Ti 3.2832 1.6162 1.0351
Ga 3.0287 0.0000 3.2431
Ga 0.4159 0.0000 9.6129
Tc 1.1141 0.0000 1.1244
Ga 0.8812 1.6162 3.1849
```

Values from the calculation:
Density   7.9 Mg/m³

Model c:
## TiGaTc (GGA-PBE)

Data for a geometry-optimized TiGaTc structure.

```
6
Lattice="4.3914 0.0000 0.0000 -2.1957 3.8030 0.0000 0.0000 0.0000 5.3985" Properties=species:S:1:pos:R:3 pbc="T T T"
Ti 2.1957 1.2677 1.0073
Ti 0.0000 2.5354 4.3911
Tc 0.0000 2.5354 1.7171
Tc 2.1957 1.2677 3.6813
Ga 0.0000 0.0000 2.6992
Ga 0.0000 0.0000 0.0000
```

Values from the calculation:
Density   7.9 Mg/m³

Model d:
## TiGaTc (GGA-PBE)

Data for a geometry-optimized TiGaTc structure.

```
12
Lattice="-5.0602 2.4245 2.2744 -1.6365 -1.0774 -2.4924 1.0932 -9.4935 3.3860" Properties=species:S:1:pos:R:3 pbc="T T T"
Ga -1.1062 -6.8740 3.6978
Tc -0.1999 -1.3440 0.7122
Tc -0.4715 -6.6295 1.1590
Ti -3.2651 -2.9124 3.4028
Ti -3.5367 -8.1978 3.8496
Ga -3.1324 -5.4805 2.4094
Tc -5.1320 -1.5169 2.0090
Ti -2.0668 0.0514 -0.6815
Ga -2.8608 -0.1950 1.9626
Ti -0.7019 -4.1566 2.2577
Tc -3.7671 -5.7250 4.9482
Ga -2.4711 -2.6659 0.7586
```

Values from the calculation:
Density   7.8 Mg/m³

So which one is most stable? That would be model b, about 29 meV/atom below the next structure.

Model a:
## TiGaTc (GGA-PBE)

Data for a geometry-optimized TiGaTc structure.

```
12
Lattice="4.3334 0.0000 0.0000 0.0000 12.8913 0.0000 0.0000 0.0000 3.2401" Properties=species:S:1:pos:R:3 pbc="T T T"
Ga 0.0000 6.4456 0.0000
Tc 2.1667 8.5452 0.0000
Ti 0.0000 4.2640 1.6200
Tc 0.0000 2.0996 0.0000
Ga 2.1667 6.4456 1.6200
Tc 0.0000 10.7917 0.0000
Ga 2.1667 0.0000 0.0000
Ti 2.1667 2.1817 1.6200
Ga 0.0000 0.0000 1.6200
Ti 0.0000 8.6273 1.6200
Tc 2.1667 4.3461 0.0000
Ti 2.1667 10.7096 1.6200
```

Values from the calculation:
Density   7.9 Mg/m³

Model b:
## TiGaTc (GGA-PBE)

Data for a geometry-optimized TiGaTc structure.

```
24
Lattice="4.8589 0.0000 0.0000 0.0000 9.2594 0.0000 0.0000 0.0000 8.0669" Properties=species:S:1:pos:R:3 pbc="T T T"
Tc 0.0000 0.0000 2.4445
Ga 1.2147 2.3149 1.7316
Ti 2.4294 4.6297 5.0270
Tc 1.2147 2.3149 4.4612
Tc 1.2147 6.9446 0.4278
Ga 3.6442 6.9446 1.7316
Tc 3.6442 6.9446 4.4612
Ti 0.0000 0.0000 5.0270
Tc 2.4294 0.0000 6.4779
Ga 2.4294 0.0000 3.7483
Ti 3.6442 2.3149 3.0103
Ti 3.6442 6.9446 7.0438
Ti 1.2147 6.9446 3.0103
Ga 1.2147 6.9446 5.7651
Ti 0.0000 4.6297 0.9936
Tc 0.0000 4.6297 6.4779
Tc 2.4294 4.6297 2.4445
Ga 3.6442 2.3149 5.7651
Tc 3.6442 2.3149 0.4278
Ga 2.4294 4.6297 7.7818
Ga 0.0000 0.0000 7.7818
Ti 2.4294 0.0000 0.9936
Ti 1.2147 2.3149 7.0438
Ga 0.0000 4.6297 3.7483
```

Values from the calculation:
Density   7.9 Mg/m³

Model c:
## TiGaTc (GGA-PBE)

Data for a geometry-optimized TiGaTc structure.

```
3
Lattice="-2.9082 -1.4773 0.0427 1.0727 -2.0451 2.3040 -0.4081 4.4584 1.8380" Properties=species:S:1:pos:R:3 pbc="T T T"
Tc -1.2993 2.6431 2.9510
Ti -1.8081 0.0501 3.1956
Ga -0.4186 0.8515 0.9507
```

Values from the calculation:
Density   7.9 Mg/m³

Model d:
## TiGaTc (GGA-PBE)

Data for a geometry-optimized TiGaTc structure.

```
3
Lattice="2.6695 0.0000 0.0000 -1.3348 6.8209 -2.6719 0.0000 1.4103 2.2666" Properties=species:S:1:pos:R:3 pbc="T T T"
Tc 0.0000 4.1851 0.5401
Ga 1.3348 5.1984 -1.6624
Ti 0.0000 2.0927 1.8420
```

Values from the calculation:
Density   7.0 Mg/m³

So which one is most stable? That would be model c, about 53 meV/atom below the next structure.